Material: SrCo2NiF8
Method: DFT, GGA+U
State: relaxed

POSCAR file:
```
SrCo2NiF8
1.0
4.910 0.000 0.000
0.159 4.962 0.000
0.005 0.006 6.715
Sr Co Ni F
1 2 1 8
direct
0.000 0.000 0.000 Sr
0.500 0.500 0.265 Co
0.500 0.500 0.735 Co
0.000 0.000 0.500 Ni
0.199 0.786 0.285 F
0.199 0.786 0.716 F
0.306 0.296 0.500 F
0.346 0.317 0.000 F
0.654 0.683 0.000 F
0.694 0.704 0.500 F
0.801 0.214 0.284 F
0.801 0.214 0.715 F
```

Output
For the total moment, the calculation gives 0.667 μB per atom. The total energy comes out at -4.989 eV/atom. The volume is 164 Å³/cell.